Compound: Al3OsAu
Source: Alexandria via LeMat-Bulk
Functional: PBE
Structure: relaxed

Results
energy relative to the lowest polymorph listed for this composition = 0 meV/atom

Cell lengths 4.7141, 4.7141, 4.7141 Å; angles 90.00, 90.00, 90.00 degrees
Space group Pm-3m (No. 221)
Asymmetric unit:
Al1 0.0000 0.0000 0.5000 [3 per cell]
Os1 0.0000 0.0000 0.0000 [1 per cell]
Au1 0.5000 0.5000 0.5000 [1 per cell]



Compound: AlOsAu
Source: Alexandria via LeMat-Bulk
Functional: PBE
Structure: relaxed

Results
energy relative to the lowest polymorph listed for this composition = 301 meV/atom

Cell lengths 2.8727, 2.8727, 6.5270 Å; angles 90.00, 90.00, 120.00 degrees
Space group P3m1 (No. 156)
Asymmetric unit:
Al1 0.0000 0.0000 0.0000 [1 per cell]
Os1 0.3333 0.6667 0.7051 [1 per cell]
Au1 0.6667 0.3333 0.3308 [1 per cell]



Compound: Al2OsAu
Source: Alexandria via LeMat-Bulk
Functional: PBE
Structure: relaxed

Cell lengths 2.9199, 2.9199, 25.2411 Å; angles 90.00, 90.00, 120.00 degrees
Space group R-3m (No. 166, hexagonal axes)
Asymmetric unit:
Al1 0.0000 0.0000 0.2445 [6 per cell]
Os1 0.0000 0.0000 0.5000 [3 per cell]
Au1 0.0000 0.0000 0.0000 [3 per cell]



Compound: Al5Os4Au
Source: Alexandria via LeMat-Bulk
Functional: PBE
Structure: relaxed

Cell lengths 3.0792, 3.0792, 14.9616 Å; angles 90.00, 90.00, 90.00 degrees
Space group P4/mmm (No. 123)
Asymmetric unit:
Al1 0.0000 0.0000 0.0000 [1 per cell]
Al2 0.0000 0.0000 0.1959 [2 per cell]
Al3 0.0000 0.0000 0.3852 [2 per cell]
Os1 0.5000 0.5000 0.0980 [2 per cell]
Os2 0.5000 0.5000 0.2977 [2 per cell]
Au1 0.5000 0.5000 0.5000 [1 per cell]



Compound: AlOs4Au
Source: Alexandria via LeMat-Bulk
Functional: PBE
Structure: relaxed

Cell lengths 7.3115, 7.3115, 7.3115 Å; angles 90.00, 90.00, 90.00 degrees
Space group F-43m (No. 216)
Asymmetric unit:
Al1 0.0000 0.0000 0.0000 [4 per cell]
Os1 0.1250 0.1250 0.3750 [16 per cell]
Au1 0.2500 0.2500 0.7500 [4 per cell]



Compound: Al2OsAu
Source: Alexandria via LeMat-Bulk
Functional: PBE
Structure: relaxed

Cell lengths 3.2223, 4.1242, 9.1299 Å; angles 90.00, 90.00, 90.00 degrees
Space group Imm2 (No. 44)
Asymmetric unit:
Al1 0.0000 0.0000 0.0000 [2 per cell]
Al2 0.0000 0.5000 0.2344 [2 per cell]
Os1 0.0000 0.0000 0.5093 [2 per cell]
Au1 0.0000 0.5000 0.7447 [2 per cell]



Compound: Al2OsAu
Source: Alexandria via LeMat-Bulk
Functional: PBE
Structure: relaxed

Cell lengths 6.2951, 6.2951, 6.2951 Å; angles 90.00, 90.00, 90.00 degrees
Space group F-43m (No. 216)
Asymmetric unit:
Al1 0.0000 0.0000 0.0000 [4 per cell]
Al2 0.2500 0.2500 0.2500 [4 per cell]
Os1 0.0000 0.0000 0.5000 [4 per cell]
Au1 0.2500 0.2500 0.7500 [4 per cell]



Compound: Al2OsAu
Source: Alexandria via LeMat-Bulk
Functional: PBE
Structure: relaxed

Cell lengths 3.1518, 3.1518, 5.9767 Å; angles 90.00, 90.00, 90.00 degrees
Space group P4/mmm (No. 123)
Asymmetric unit:
Al1 0.0000 0.0000 0.2282 [2 per cell]
Os1 0.5000 0.5000 0.0000 [1 per cell]
Au1 0.5000 0.5000 0.5000 [1 per cell]



Number 1: formation enthalpy at 0 K 0.1360 eV/atom, total DFT energy (no corrections) -5.011 eV per atom, total moment 0.0 μB/f.u.. Number 2: formation enthalpy at 0 K 0.0390 eV/atom, total DFT energy (no corrections) -6.044 eV per atom, total moment 0.0 μB/f.u.. Number 3: formation enthalpy at 0 K -0.2018 eV/atom, total DFT energy (no corrections) -5.700 eV per atom, total moment 0.0 μB/f.u.. Number 4: formation enthalpy at 0 K -0.4050 eV/atom, total DFT energy (no corrections) -7.096 eV per atom, total moment 0.0 μB/f.u.. Number 5: formation enthalpy at 0 K 0.7328 eV/atom, total DFT energy (no corrections) -7.924 eV per atom, total moment 0.0 μB/f.u.. Number 6: formation enthalpy at 0 K -0.2547 eV/atom, total DFT energy (no corrections) -5.753 eV per atom, total moment 0.0 μB/f.u.. Number 7: formation enthalpy at 0 K 0.1668 eV/atom, total DFT energy (no corrections) -5.331 eV per atom, total moment 0.0 μB/f.u.. Number 8: formation enthalpy at 0 K -0.4186 eV/atom, total DFT energy (no corrections) -5.917 eV per atom, total moment 0.0 μB/f.u..